No. 1
# K2Te2Cl PBE optimized geometry
# Distance to the lowest polymorph of the same formula, eV/f.u.: 0.00
# Density of states at the Fermi level, states/eV per cell: 7.1
# Mass density, g/cm3: 2.881
data_K2Te2Cl
_chemical_formula_sum 'K4 Te4 Cl2'
_symmetry_space_group_name_H-M 'I 4/m m m'
_symmetry_Int_Tables_number 139
_symmetry_space_group_name_Hall '-I 4 2'
_cell_length_a 6.7307
_cell_length_b 6.7307
_cell_length_c 9.3844
_cell_angle_alpha 90.00
_cell_angle_beta 90.00
_cell_angle_gamma 90.00
loop_
_atom_site_label
_atom_site_fract_x
_atom_site_fract_y
_atom_site_fract_z
_atom_site_occupancy
K1 0.0000 0.5000 0.2500 1
Te1 0.0000 0.0000 0.1451 1
Cl1 0.0000 0.0000 0.5000 1


No. 2
# SrPmZn PBE optimized geometry
# Distance to the lowest polymorph of the same formula, eV/f.u.: 0.58
# Density of states at the Fermi level, states/eV per cell: 2.5
# Mass density, g/cm3: 4.935
# Formation enthalpy at 0 K, eV/f.u.: 0.2
data_SrPmZn
_chemical_formula_sum 'Sr1 Pm1 Zn1'
_symmetry_space_group_name_H-M 'P 3 m 1'
_symmetry_Int_Tables_number 156
_cell_length_a 5.2121
_cell_length_b 5.2121
_cell_length_c 4.2629
_cell_angle_alpha 90.00
_cell_angle_beta 90.00
_cell_angle_gamma 120.00
loop_
_symmetry_equiv_pos_as_xyz
'x,y,z'
'-y,x-y,z'
'-x+y,-x,z'
'-y,-x,z'
'-x+y,y,z'
'x,x-y,z'
loop_
_atom_site_label
_atom_site_fract_x
_atom_site_fract_y
_atom_site_fract_z
_atom_site_occupancy
Sr1 0.0000 0.0000 0.0000 1
Pm1 0.3333 0.6667 0.5076 1
Zn1 0.6667 0.3333 0.4591 1


No. 3
# Na3TcCl PBE optimized geometry
# Distance to the lowest polymorph of the same formula, eV/f.u.: 0.00
# Density of states at the Fermi level, states/eV per cell: 1.5
# Mass density, g/cm3: 2.288
data_Na3TcCl
_chemical_formula_sum 'Na3 Tc1 Cl1'
_symmetry_space_group_name_H-M 'P m -3 m'
_symmetry_Int_Tables_number 221
_symmetry_space_group_name_Hall '-P 4 2 3'
_cell_length_a 5.2762
_cell_length_b 5.2762
_cell_length_c 5.2762
_cell_angle_alpha 90.00
_cell_angle_beta 90.00
_cell_angle_gamma 90.00
loop_
_atom_site_label
_atom_site_fract_x
_atom_site_fract_y
_atom_site_fract_z
_atom_site_occupancy
Na1 0.0000 0.0000 0.5000 1
Tc1 0.5000 0.5000 0.5000 1
Cl1 0.0000 0.0000 0.0000 1


No. 4
# K4Ce3GeSe8 PBE optimized geometry
# Calculated total energy, Ry per atom: -0.35858
# Density of states at the Fermi level, states/eV per cell: 39.4
# Mass density, g/cm3: 4.315
data_K4Ce3GeSe8
_chemical_formula_sum 'K12 Ce9 Ge3 Se24'
_symmetry_space_group_name_H-M 'R -3 m'
_symmetry_Int_Tables_number 166
_symmetry_space_group_name_Hall '-R 3 2"'
_cell_length_a 8.6503
_cell_length_b 8.6503
_cell_length_c 22.8220
_cell_angle_alpha 90.00
_cell_angle_beta 90.00
_cell_angle_gamma 120.00
loop_
_atom_site_label
_atom_site_fract_x
_atom_site_fract_y
_atom_site_fract_z
_atom_site_occupancy
K1 0.0000 0.0000 0.0000 1
K2 0.0000 0.5000 0.0000 1
Ce1 0.0000 0.5000 0.5000 1
Ge1 0.0000 0.0000 0.5000 1
Se1 0.0000 0.0000 0.2368 1
Se2 0.0016 0.5008 0.2342 1


No. 5
# CuNiIr PBE optimized geometry
# Distance to the lowest polymorph of the same formula, eV/f.u.: 0.00
# Density of states at the Fermi level, states/eV per cell: 4.0
# Mass density, g/cm3: 13.638
# Formation enthalpy at 0 K, eV/f.u.: 0.2
data_CuNiIr
_chemical_formula_sum 'Cu1 Ni1 Ir1'
_symmetry_space_group_name_H-M 'P 3 m 1'
_symmetry_Int_Tables_number 156
_cell_length_a 2.6559
_cell_length_b 2.6559
_cell_length_c 6.2675
_cell_angle_alpha 90.00
_cell_angle_beta 90.00
_cell_angle_gamma 120.00
loop_
_symmetry_equiv_pos_as_xyz
'x,y,z'
'-y,x-y,z'
'-x+y,-x,z'
'-y,-x,z'
'-x+y,y,z'
'x,x-y,z'
loop_
_atom_site_label
_atom_site_fract_x
_atom_site_fract_y
_atom_site_fract_z
_atom_site_occupancy
Cu1 0.0000 0.0000 0.0000 1
Ni1 0.6667 0.3333 0.6792 1
Ir1 0.3333 0.6667 0.3508 1


No. 6
# Cd8GaAu6 PBE optimized geometry
# Density of states at the Fermi level, states/eV per cell: 9.4
# Mass density, g/cm3: 11.084
# Formation enthalpy at 0 K, eV/f.u.: -2.9
data_Cd8GaAu6
_chemical_formula_sum 'Cd24 Ga3 Au18'
_symmetry_space_group_name_H-M 'R -3'
_symmetry_Int_Tables_number 148
_symmetry_space_group_name_Hall '-R 3'
_cell_length_a 7.9715
_cell_length_b 7.9715
_cell_length_c 17.5660
_cell_angle_alpha 90.00
_cell_angle_beta 90.00
_cell_angle_gamma 120.00
loop_
_atom_site_label
_atom_site_fract_x
_atom_site_fract_y
_atom_site_fract_z
_atom_site_occupancy
Cd1 0.0000 0.0000 0.1671 1
Cd2 0.0042 0.3525 0.3802 1
Ga1 0.0000 0.0000 0.5000 1
Au1 0.0013 0.3157 0.5523 1


| no. | total magnetic moment (μB/f.u.) |
| --- | --- |
| 1 | 1.00 |
| 2 | 0.00 |
| 3 | 3.30 |
| 4 | 2.01 |
| 5 | 0.64 |
| 6 | 0.00 |